DFT (GGA-PBE) results for a relaxed Mn2CdPb crystal.

abc: 3.2086 3.2086 27.3892
angles: 90.00 90.00 120.00
Space group R-3m (No. 166, hexagonal axes)
Unique sites:
Mn 0.0000 0.0000 0.2470 (multiplicity 6)
Cd 0.0000 0.0000 0.5000 (multiplicity 3)
Pb 0.0000 0.0000 0.0000 (multiplicity 3)

Summary:
Its calculated density is 8.762 g/cm³. As for the total moment: 7.583 μB per formula unit. Its crystal system is trigonal. The value obtained for the calculated total energy is -63.26 eV per cell. Its formation enthalpy at 0 K is 0.469 eV/atom. Its density of states at the Fermi level is 7.02 states/eV per cell.

DFT (GGA-PBE) results for a relaxed NaHgSe3 crystal.

abc: 5.337 5.337 5.337
angles: 90.00 90.00 90.00
Space group Pm-3m (No. 221)
Unique sites:
Na 0.000 0.000 0.000 (multiplicity 1)
Hg 0.500 0.500 0.500 (multiplicity 1)
Se 0.000 0.500 0.500 (multiplicity 3)

Summary:
Its calculated density is 5.031 g/cm³. As for the total moment: 0.000 μB per formula unit. For the energy above the most stable polymorph in this dataset, the calculation gives 0 meV/atom. Its crystal system is cubic. The value obtained for the calculated total energy is -11.26 eV per cell. The uncorrected formation energy is 0.162 eV per atom. Its density of states at the Fermi level is 4.93 states/eV per cell.

DFT (GGA-PBE) results for a relaxed SmAlSi3 crystal.

abc: 7.335 5.940 5.712
angles: 90.00 129.80 90.00
Space group Cm (No. 8)
Unique sites:
Sm 0.000 0.000 0.000 (multiplicity 2)
Al 0.137 0.500 0.271 (multiplicity 2)
Si 0.003 0.251 0.505 (multiplicity 4)
Si 0.351 0.000 0.704 (multiplicity 2)

Summary:
Its calculated density is 4.544 g/cm³. As for the total moment: 0.000 μB per formula unit. Its crystal system is monoclinic. The value obtained for the calculated total energy is -51.36 eV per cell. The uncorrected formation energy is -0.190 eV per atom. Its density of states at the Fermi level is 3.75 states/eV per cell.

DFT (GGA-PBE) results for a relaxed Mn3AlH crystal.

abc: 8.425 3.704 7.091
angles: 90.00 114.55 90.00
Space group Cm (No. 8)
Unique sites:
Mn 0.000 0.000 0.000 (multiplicity 2)
Mn 0.001 0.000 0.534 (multiplicity 2)
Mn 0.242 0.000 0.884 (multiplicity 2)
Mn 0.255 0.000 0.383 (multiplicity 2)
Mn 0.257 0.500 0.662 (multiplicity 2)
Mn 0.492 0.000 0.739 (multiplicity 2)
Al 0.016 0.500 0.291 (multiplicity 2)
Al 0.254 0.500 0.130 (multiplicity 2)
H 0.249 0.000 0.636 (multiplicity 2)
H 0.464 0.000 0.969 (multiplicity 2)

Summary:
Its calculated density is 6.362 g/cm³. As for the total moment: 2.087 μB per formula unit. Its crystal system is monoclinic. The value obtained for the calculated total energy is -139.60 eV per cell. Its density of states at the Fermi level is 14.25 states/eV per cell.

DFT (GGA-PBE) results for a relaxed SrCo2RuC crystal.

abc: 3.823 3.823 5.062
angles: 90.00 90.00 90.00
Space group P4/mmm (No. 123)
Unique sites:
Sr 0.000 0.000 0.000 (multiplicity 1)
Co 0.000 0.500 0.500 (multiplicity 2)
Ru 0.500 0.500 0.000 (multiplicity 1)
C 0.000 0.000 0.500 (multiplicity 1)

Summary:
Its calculated density is 7.149 g/cm³. As for the total moment: 2.681 μB per formula unit. Its crystal system is tetragonal. The value obtained for the calculated total energy is -30.36 eV per cell. Its formation enthalpy at 0 K is 0.808 eV/atom. Its density of states at the Fermi level is 5.14 states/eV per cell.

DFT (GGA-PBE) results for a relaxed Pu5UAs6 crystal.

abc: 7.159 12.401 7.162
angles: 90.00 109.47 90.00
Space group C2/m (No. 12)
Unique sites:
Pu 0.000 0.000 0.000 (multiplicity 2)
Pu 0.000 0.166 0.500 (multiplicity 4)
Pu 0.000 0.332 0.000 (multiplicity 4)
U 0.000 0.500 0.500 (multiplicity 2)
As 0.246 0.500 0.252 (multiplicity 4)
As 0.247 0.335 0.747 (multiplicity 8)

Summary:
Its calculated density is 10.567 g/cm³. As for the total moment: 27.807 μB per formula unit. Its crystal system is monoclinic. The value obtained for the calculated total energy is -245.19 eV per cell. Its formation enthalpy at 0 K is -0.979 eV/atom. Its density of states at the Fermi level is 106.87 states/eV per cell.

DFT (GGA-PBE) results for a relaxed Li4AlGa4 crystal.

abc: 8.502 8.502 3.976
angles: 90.00 90.00 90.00
Space group I4/mmm (No. 139)
Unique sites:
Li 0.169 0.169 0.000 (multiplicity 8)
Al 0.000 0.000 0.500 (multiplicity 2)
Ga 0.000 0.332 0.500 (multiplicity 8)

Summary:
Its calculated density is 3.856 g/cm³. As for the total moment: 0.000 μB per formula unit. Its crystal system is tetragonal. The value obtained for the calculated total energy is -51.09 eV per cell. Its formation enthalpy at 0 K is -0.227 eV/atom. Its density of states at the Fermi level is 3.63 states/eV per cell.

DFT (GGA-PBE) results for a relaxed Ba4IrSe crystal.

abc: 9.587 9.587 9.587
angles: 90.00 90.00 90.00
Space group F-43m (No. 216)
Unique sites:
Ba 0.125 0.125 0.125 (multiplicity 16)
Ir 0.250 0.250 0.750 (multiplicity 4)
Se 0.000 0.000 0.500 (multiplicity 4)

Summary:
Its calculated density is 6.185 g/cm³. As for the total moment: 0.000 μB per formula unit. For the energy above the most stable polymorph in this dataset, the calculation gives 1245 meV/atom. Its crystal system is cubic. The value obtained for the calculated total energy is -67.36 eV per cell. The uncorrected formation energy is 0.533 eV per atom. Its density of states at the Fermi level is 18.75 states/eV per cell.

Q: Look up the total moment of the second one.
A: 0.000 μB per formula unit

Q: Look up the calculated total energy of the second one.
A: -11.26 eV per cell